Density functional theory data (PBE-GGA) for a geometry-optimized Sc3BrO structure.

For the formation energy from raw total energies, the calculation gives -0.9673 eV per atom. For the density of states at the Fermi level, the calculation gives 7.34 states/eV per cell. Its symmetry is No. 221. The energy is -6.092 eV/atom.

Cell: 4.496 4.496 4.496 Å, 90.00 90.00 90.00°
Positions (direct):
Sc  0.000  0.500  0.000
Sc  0.000  0.000  0.500
Sc  0.500  0.000  0.000
O  0.000  0.000  0.000
Br  0.500  0.500  0.500